First-principles (PBE) data for K4LaRe after structural relaxation, as listed in Alexandria via LeMat-Bulk.

Cell: 9.9128 9.9128 9.9128 Å, 90.00 90.00 90.00°
Space group F-43m (No. 216)
Inequivalent atoms, fractional coordinates:
1 K 0.1229 0.1229 0.3771 [16 per cell]
2 La 0.0000 0.0000 0.0000 [4 per cell]
3 Re 0.2500 0.2500 0.7500 [4 per cell]

## Properties
The value obtained for the uncorrected energy is -2.230 eV/atom. The formation energy comes out at 1.40 eV/atom. The mass density comes out at 3.28 g/cm³.

***

First-principles (PBE) data for K2LaRe after structural relaxation, as listed in Alexandria via LeMat-Bulk.

Cell: 8.0439 8.0439 8.0439 Å, 90.00 90.00 90.00°
Space group Fm-3m (No. 225)
Inequivalent atoms, fractional coordinates:
1 K 0.2500 0.2500 0.2500 [8 per cell]
2 La 0.0000 0.0000 0.0000 [4 per cell]
3 Re 0.0000 0.0000 0.5000 [4 per cell]

## Properties
The calculation puts the offset from the most stable computed form at 0.946 eV per atom. The value obtained for the uncorrected energy is -3.232 eV/atom. The formation energy comes out at 1.66 eV/atom. The mass density comes out at 5.15 g/cm³.